A relaxed MgP2NO crystal. Source: Alexandria via LeMat-Bulk, functional PBE.

a = 4.8974 Å, b = 4.8974 Å, c = 3.6200 Å
α = 90.00°, β = 90.00°, γ = 90.00°
Fractional coordinates of all 5 atoms:
P1 0.0000 0.5000 0.0000
P2 0.5000 0.0000 0.0000
N1 0.5000 0.5000 0.5000
Mg1 0.0000 0.0000 0.0000
O1 0.0000 0.0000 0.5000

Results
Energy relative to the elements, uncorrected   1.46 eV/atom



A relaxed VCdAu crystal. Source: Alexandria via LeMat-Bulk, functional PBE.

a = 3.0060 Å, b = 4.7646 Å, c = 7.5897 Å
α = 80.38°, β = 80.78°, γ = 88.24°
Fractional coordinates of all 6 atoms:
V1 0.3803 0.8444 0.5945
V2 0.6197 0.1556 0.4055
Au1 0.8946 0.3253 0.6977
Au2 0.1054 0.6747 0.3023
Cd1 0.7650 0.7649 0.9361
Cd2 0.2350 0.2351 0.0639

Results
Energy of formation from the pure elements   0.08 eV/atom



A relaxed TbPm3Bi3 crystal. Source: Alexandria via LeMat-Bulk, functional PBE.

a = 9.3045 Å, b = 9.3045 Å, c = 8.3587 Å
α = 56.18°, β = 56.18°, γ = 60.00°
Fractional coordinates of all 14 atoms:
Bi1 0.5273 0.9217 0.2443
Bi2 0.3067 0.5273 0.2443
Bi3 0.6933 0.4727 0.7557
Bi4 0.0783 0.6933 0.7557
Bi5 0.4727 0.0783 0.7557
Bi6 0.9217 0.3067 0.2443
Tb1 0.6670 0.6670 0.9989
Tb2 0.3330 0.3330 0.0011
Pm1 0.6573 0.1769 0.2534
Pm2 0.1769 0.9124 0.2534
Pm3 0.9124 0.6573 0.2534
Pm4 0.8231 0.0876 0.7466
Pm5 0.3427 0.8231 0.7466
Pm6 0.0876 0.3427 0.7466

Results
Energy of formation from the pure elements   -0.71 eV/atom



A relaxed Co2Pd crystal. Source: Alexandria via LeMat-Bulk, functional PBE.

a = 2.6369 Å, b = 2.6369 Å, c = 6.3058 Å
α = 90.00°, β = 90.00°, γ = 120.00°
Fractional coordinates of all 3 atoms:
Co1 0.6667 0.3333 0.3502
Co2 0.3333 0.6667 0.6498
Pd1 0.0000 0.0000 0.0000

Results
Energy of formation from the pure elements   0.08 eV/atom



A relaxed Li3Fe5Cl12 crystal. Source: Alexandria via LeMat-Bulk, functional PBE.

a = 12.9207 Å, b = 12.9207 Å, c = 12.9207 Å
α = 109.47°, β = 109.47°, γ = 109.47°
Fractional coordinates of all 80 atoms:
Fe1 0.7500 0.6250 0.3750
Fe2 0.5000 0.0000 0.0000
Fe3 0.5000 0.0000 0.5000
Fe4 0.0000 0.5000 0.5000
Fe5 0.8750 0.6250 0.7500
Fe6 0.1250 0.3750 0.2500
Fe7 0.5000 0.5000 0.0000
Fe8 0.8750 0.2500 0.6250
Fe9 0.7500 0.1250 0.8750
Fe10 0.0000 0.5000 0.0000
Fe11 0.6250 0.7500 0.8750
Fe12 0.2500 0.3750 0.6250
Fe13 0.3750 0.1250 0.7500
Fe14 0.5000 0.5000 0.5000
Fe15 0.1250 0.7500 0.3750
Fe16 0.0000 0.0000 0.5000
Fe17 0.3750 0.2500 0.1250
Fe18 0.0000 0.0000 0.0000
Fe19 0.6250 0.8750 0.2500
Fe20 0.2500 0.8750 0.1250
Cl1 0.9741 0.5916 0.1732
Cl2 0.3009 0.8824 0.9741
Cl3 0.4741 0.6732 0.0916
Cl4 0.8268 0.9084 0.0259
Cl5 0.4185 0.3009 0.3268
Cl6 0.6991 0.5815 0.1732
Cl7 0.9185 0.8268 0.8009
Cl8 0.5815 0.8824 0.4084
Cl9 0.8824 0.3009 0.4741
Cl10 0.3824 0.4084 0.0815
Cl11 0.3009 0.4185 0.8268
Cl12 0.3824 0.9741 0.8009
Cl13 0.8009 0.3268 0.9185
Cl14 0.1991 0.6732 0.0815
Cl15 0.0916 0.1732 0.4741
Cl16 0.4084 0.0259 0.3268
Cl17 0.4741 0.8009 0.8824
Cl18 0.6732 0.1991 0.5815
Cl19 0.0259 0.6176 0.6991
Cl20 0.1732 0.0815 0.6991
Cl21 0.1176 0.4185 0.0916
Cl22 0.1732 0.0916 0.9741
Cl23 0.9185 0.0916 0.6176
Cl24 0.5916 0.9741 0.6732
Cl25 0.8268 0.9185 0.3009
Cl26 0.6176 0.0259 0.1991
Cl27 0.4185 0.1176 0.5916
Cl28 0.0815 0.9084 0.3824
Cl29 0.8824 0.5815 0.9084
Cl30 0.1176 0.6991 0.5259
Cl31 0.0916 0.9185 0.1176
Cl32 0.5259 0.3268 0.9084
Cl33 0.5916 0.6176 0.4185
Cl34 0.6732 0.4741 0.5916
Cl35 0.5259 0.1991 0.1176
Cl36 0.6991 0.1176 0.0259
Cl37 0.5815 0.6991 0.6732
Cl38 0.0259 0.4084 0.8268
Cl39 0.4084 0.3824 0.5815
Cl40 0.9741 0.3824 0.3009
Cl41 0.0815 0.1732 0.1991
Cl42 0.8009 0.4741 0.3824
Cl43 0.3268 0.8009 0.4185
Cl44 0.6176 0.5916 0.9185
Cl45 0.9084 0.0815 0.8824
Cl46 0.9084 0.8268 0.5259
Cl47 0.3268 0.5259 0.4084
Cl48 0.1991 0.5259 0.6176
Li1 0.6250 0.2500 0.3750
Li2 0.8750 0.1250 0.2500
Li3 0.2500 0.1250 0.3750
Li4 0.7500 0.3750 0.1250
Li5 0.2500 0.6250 0.8750
Li6 0.8750 0.7500 0.1250
Li7 0.3750 0.7500 0.6250
Li8 0.7500 0.8750 0.6250
Li9 0.1250 0.2500 0.8750
Li10 0.1250 0.8750 0.7500
Li11 0.6250 0.3750 0.7500
Li12 0.3750 0.6250 0.2500

Results
Energy relative to the elements, uncorrected   -0.80 eV/atom



A relaxed Ti7HgC2 crystal. Source: Alexandria via LeMat-Bulk, functional PBE.

a = 4.1471 Å, b = 6.5211 Å, c = 6.5211 Å
α = 115.81°, β = 90.00°, γ = 90.00°
Fractional coordinates of all 10 atoms:
C1 0.5000 0.2964 0.7036
C2 0.5000 0.7036 0.2964
Hg1 0.0000 0.0000 0.0000
Ti1 0.5000 0.9352 0.6631
Ti2 0.5000 0.6631 0.9352
Ti3 0.0000 0.7187 0.2813
Ti4 0.5000 0.0648 0.3369
Ti5 0.5000 0.3369 0.0648
Ti6 0.5000 0.5000 0.5000
Ti7 0.0000 0.2813 0.7187

Results
Energy of formation from the pure elements   -0.14 eV/atom



A relaxed CeMoAs2Rh5 crystal. Source: Alexandria via LeMat-Bulk, functional PBE.

a = 3.9812 Å, b = 3.9812 Å, c = 10.9179 Å
α = 90.00°, β = 90.00°, γ = 90.00°
Fractional coordinates of all 9 atoms:
Rh1 0.5000 0.0000 0.1495
Rh2 0.0000 0.5000 0.1495
Rh3 0.5000 0.5000 0.5000
Rh4 0.5000 0.0000 0.8505
Rh5 0.0000 0.5000 0.8505
Mo1 0.0000 0.0000 0.0000
Ce1 0.0000 0.0000 0.5000
As1 0.5000 0.5000 0.7208
As2 0.5000 0.5000 0.2792

Results
Energy of formation from the pure elements   -0.37 eV/atom



A relaxed Pm8SbIr3I4 crystal. Source: Alexandria via LeMat-Bulk, functional PBE.

a = 8.6213 Å, b = 9.4035 Å, c = 8.6212 Å
α = 117.30°, β = 120.00°, γ = 90.00°
Fractional coordinates of all 16 atoms:
Ir1 0.5000 0.5000 0.5000
Ir2 0.5000 0.5000 0.0000
Ir3 0.0000 0.5000 0.5000
Pm1 0.2718 0.3157 0.5437
Pm2 0.7026 0.6888 0.9458
Pm3 0.2432 0.6888 0.4864
Pm4 0.7568 0.3112 0.5136
Pm5 0.7568 0.3112 0.0542
Pm6 0.2974 0.3112 0.0542
Pm7 0.7282 0.6843 0.4563
Pm8 0.2432 0.6888 0.9458
I1 0.0000 0.0000 0.0000
I2 0.5000 0.0000 0.5000
I3 0.5000 0.0000 0.0000
I4 0.0000 0.0000 0.5000
Sb1 0.0000 0.5000 0.0000

Results
Energy relative to the elements, uncorrected   -0.96 eV/atom



A relaxed NbTlS2Cl crystal. Source: Alexandria via LeMat-Bulk, functional PBE.

a = 4.8694 Å, b = 4.8694 Å, c = 5.0412 Å
α = 90.00°, β = 90.00°, γ = 90.00°
Fractional coordinates of all 5 atoms:
Tl1 0.5000 0.5000 0.5000
S1 0.5000 0.0000 0.0000
S2 0.0000 0.5000 0.0000
Cl1 0.0000 0.0000 0.5000
Nb1 0.0000 0.0000 0.0000

Results
Energy relative to the elements, uncorrected   -0.72 eV/atom



A relaxed Ba4PAuCl2 crystal. Source: Alexandria via LeMat-Bulk, functional PBE.

a = 4.6608 Å, b = 8.1576 Å, c = 8.1404 Å
α = 72.81°, β = 90.00°, γ = 90.00°
Fractional coordinates of all 8 atoms:
P1 0.0000 0.5000 0.5000
Ba1 0.5000 0.2782 0.7331
Ba2 0.0000 0.7376 0.7485
Ba3 0.5000 0.7218 0.2669
Ba4 0.0000 0.2624 0.2515
Au1 0.5000 0.5000 0.0000
Cl1 0.0000 0.0000 0.0000
Cl2 0.5000 0.0000 0.5000

Results
Energy relative to the elements, uncorrected   -1.42 eV/atom



A relaxed Ca2BBr crystal. Source: Alexandria via LeMat-Bulk, functional PBE.

a = 5.0651 Å, b = 5.0651 Å, c = 5.0651 Å
α = 60.00°, β = 60.00°, γ = 60.00°
Fractional coordinates of all 4 atoms:
Ca1 0.2500 0.2500 0.2500
Ca2 0.7500 0.7500 0.7500
B1 0.0000 0.0000 0.0000
Br1 0.5000 0.5000 0.5000

Results
Energy relative to the elements, uncorrected   -0.03 eV/atom



A relaxed Cd3Au2 crystal. Source: Alexandria via LeMat-Bulk, functional PBE.

a = 4.3217 Å, b = 5.4442 Å, c = 5.4442 Å
α = 72.19°, β = 66.61°, γ = 66.61°
Fractional coordinates of all 5 atoms:
Au1 0.5000 0.2819 0.7181
Au2 0.5000 0.7181 0.2819
Cd1 0.0000 0.0000 0.0000
Cd2 0.8016 0.6984 0.6984
Cd3 0.1984 0.3016 0.3016

Results
Energy of formation from the pure elements   -0.12 eV/atom



How do the records compare in uncorrected energy? In the order shown, they have -3.68 -4.36 -5.07 -6.39 -4.31 -7.54 -7.35 -5.64 -5.23 -3.93 -3.11 -1.98 eV/atom.
How do the records compare in V? In the order shown, they have 17.4 17.6 34.3 12.7 20.8 15.9 19.2 32.1 23.9 37.0 23.0 21.2 A^3/atom.
How do the records compare in DOS at the Fermi energy? In the order shown, they have 3.5 1.7 5.0 2.6 11.2 11.6 8.3 8.7 3.0 6.2 2.8 1.7 states/eV/f.u..